Density functional theory data (PBEsol) for a relaxed MnAlIr crystal.

Results
Calculated formation energy = -0.25 eV/atom
Calculated density = 11.03 Mg/m³
Final energy = -8.1418 eV/atom
Crystal system = trigonal

abc: 2.7666 4.1494 4.1494
angles: 120.00 90.00 90.00
Closest atoms and distances in Å follow each position.
Positions (direct):
Mn (0.3306, 0.6667, 0.3333)  3 Al 2.59, 3 Ir 2.60, 2 Mn 2.77
Al (0.9740, 0.0000, 0.0000)  3 Ir 2.52, 3 Mn 2.59, 2 Al 2.77
Ir (0.6954, 0.3333, 0.6667)  3 Al 2.52, 3 Mn 2.60, 2 Ir 2.77